No. 1
This record from Alexandria describes crystalline YP2W at its relaxed geometry. The functional is GGA-PBE.

Cell lengths 3.5748, 5.5043, 7.5784 Å; angles 90.00, 90.00, 90.00 degrees
Space group Immm (No. 71)
Unique sites:
1 Y 0.0000 0.0000 0.0000 (multiplicity 2)
2 P 0.0000 0.5000 0.2179 (multiplicity 4)
3 W 0.0000 0.0000 0.5000 (multiplicity 2)

Calculated values
- energy of formation from the pure elements (eV per atom) = -0.344
- total DFT energy (no corrections) (eV per atom) = -7.903
- offset from the most stable computed form (meV/atom) = 327



No. 2
This record from Alexandria describes crystalline Y3PW at its relaxed geometry. The functional is GGA-PBE.

Cell lengths 5.3197, 5.3197, 5.3197 Å; angles 90.00, 90.00, 90.00 degrees
Space group Pm-3m (No. 221)
Unique sites:
1 Y 0.0000 0.0000 0.5000 (multiplicity 3)
2 P 0.5000 0.5000 0.5000 (multiplicity 1)
3 W 0.0000 0.0000 0.0000 (multiplicity 1)

Calculated values
- energy of formation from the pure elements (eV per atom) = 0.644
- total DFT energy (no corrections) (eV per atom) = -6.907
- offset from the most stable computed form (meV/atom) = 345



No. 3
This record from Alexandria describes crystalline YP2W at its relaxed geometry. The functional is GGA-PBE.

Cell lengths 6.5115, 6.5115, 6.5115 Å; angles 90.00, 90.00, 90.00 degrees
Space group F-43m (No. 216)
Unique sites:
1 Y 0.0000 0.0000 0.0000 (multiplicity 4)
2 P 0.0000 0.0000 0.5000 (multiplicity 4)
3 P 0.2500 0.2500 0.2500 (multiplicity 4)
4 W 0.2500 0.2500 0.7500 (multiplicity 4)

Calculated values
- energy of formation from the pure elements (eV per atom) = 0.473
- total DFT energy (no corrections) (eV per atom) = -7.087
- offset from the most stable computed form (meV/atom) = 1144



No. 4
This record from Alexandria describes crystalline ZnPW2 at its relaxed geometry. The functional is GGA-PBE.

Cell lengths 6.2346, 6.2346, 6.2346 Å; angles 90.00, 90.00, 90.00 degrees
Space group F-43m (No. 216)
Unique sites:
1 Zn 0.0000 0.0000 0.0000 (multiplicity 4)
2 P 0.2500 0.2500 0.7500 (multiplicity 4)
3 W 0.0000 0.0000 0.5000 (multiplicity 4)
4 W 0.2500 0.2500 0.2500 (multiplicity 4)

Calculated values
- energy of formation from the pure elements (eV per atom) = 0.495
- total DFT energy (no corrections) (eV per atom) = -7.653
- offset from the most stable computed form (meV/atom) = 351



No. 5
This record from Alexandria describes crystalline ZnPW2 at its relaxed geometry. The functional is GGA-PBE.

Cell lengths 3.1148, 4.2640, 8.8305 Å; angles 90.00, 90.00, 90.00 degrees
Space group Imm2 (No. 44)
Unique sites:
1 Zn 0.0000 0.0000 0.0000 (multiplicity 2)
2 P 0.0000 0.5000 0.2498 (multiplicity 2)
3 W 0.0000 0.0000 0.5393 (multiplicity 2)
4 W 0.0000 0.5000 0.7696 (multiplicity 2)

Calculated values
- energy of formation from the pure elements (eV per atom) = 0.243
- total DFT energy (no corrections) (eV per atom) = -7.904
- offset from the most stable computed form (meV/atom) = 99



No. 6
This record from Alexandria describes crystalline ZnPW2 at its relaxed geometry. The functional is GGA-PBE.

Cell lengths 3.2582, 4.4927, 8.8720 Å; angles 90.00, 90.00, 90.00 degrees
Space group Cmm2 (No. 35)
Unique sites:
1 Zn 0.0000 0.0000 0.0000 (multiplicity 2)
2 P 0.0000 0.5000 0.3020 (multiplicity 2)
3 W 0.0000 0.0000 0.5123 (multiplicity 2)
4 W 0.0000 0.5000 0.7612 (multiplicity 2)

Calculated values
- energy of formation from the pure elements (eV per atom) = 0.273
- total DFT energy (no corrections) (eV per atom) = -7.874
- offset from the most stable computed form (meV/atom) = 129



No. 7
This record from Alexandria describes crystalline ZnPW2 at its relaxed geometry. The functional is GGA-PBE.

Cell lengths 6.1045, 6.1045, 6.1045 Å; angles 90.00, 90.00, 90.00 degrees
Space group Fm-3m (No. 225)
Unique sites:
1 Zn 0.0000 0.0000 0.0000 (multiplicity 4)
2 P 0.0000 0.0000 0.5000 (multiplicity 4)
3 W 0.2500 0.2500 0.2500 (multiplicity 8)

Calculated values
- energy of formation from the pure elements (eV per atom) = 0.370
- total DFT energy (no corrections) (eV per atom) = -7.777
- offset from the most stable computed form (meV/atom) = 226



No. 8
This record from Alexandria describes crystalline ZnPW2 at its relaxed geometry. The functional is GGA-PBE.

Cell lengths 3.1332, 4.6019, 8.3514 Å; angles 90.00, 90.00, 90.00 degrees
Space group Immm (No. 71)
Unique sites:
1 Zn 0.0000 0.0000 0.0000 (multiplicity 2)
2 P 0.0000 0.0000 0.5000 (multiplicity 2)
3 W 0.0000 0.5000 0.2189 (multiplicity 4)

Calculated values
- energy of formation from the pure elements (eV per atom) = 0.252
- total DFT energy (no corrections) (eV per atom) = -7.895
- offset from the most stable computed form (meV/atom) = 108



The following size of the total moment values (in Bohr magnetons per cell) correspond, in order, to the records above: 0.00, 0.00, 0.02, 0.00, 0.00, 0.00, 0.00, 0.00.